[1]
First-principles (PBE-GGA) data for TiTl2Cl6 after structural relaxation, as listed in Alexandria via LeMat-Bulk.

The energy relative to the lowest polymorph listed for this composition is 0.000 eV/atom. For the magnetization, the calculation gives 0.0 μB/f.u. Its formation energy (no corrections) is -1.360 eV/atom.

Geometry as CIF:
```
data_TiTl2Cl6
_cell_length_a 7.088
_cell_length_b 7.666
_cell_length_c 12.117
_cell_angle_alpha 90.00
_cell_angle_beta 124.75
_cell_angle_gamma 90.00
_symmetry_space_group_name_H-M 'P 1 21/c 1'
_symmetry_Int_Tables_number 14
loop_
_symmetry_equiv_pos_as_xyz
'x,y,z'
'-x,-y,-z'
'-x,y+1/2,-z+1/2'
'x,-y+1/2,z+1/2'
loop_
_atom_site_label
_atom_site_type_symbol
_atom_site_fract_x
_atom_site_fract_y
_atom_site_fract_z
Ti1 Ti 0.000 0.000 0.000
Tl1 Tl 0.267 0.073 0.750
Cl1 Cl 0.169 0.014 0.233
Cl2 Cl 0.213 0.744 0.033
Cl3 Cl 0.302 0.175 0.030
```



[2]
First-principles (PBE-GGA) data for TiTl3Cl6 after structural relaxation, as listed in Alexandria via LeMat-Bulk.

The energy relative to the lowest polymorph listed for this composition is 0.000 eV/atom. For the magnetization, the calculation gives 1.0 μB/f.u. Its formation energy (no corrections) is -1.253 eV/atom.

Geometry as CIF:
```
data_TiTl3Cl6
_cell_length_a 7.239
_cell_length_b 8.006
_cell_length_c 12.610
_cell_angle_alpha 90.00
_cell_angle_beta 122.58
_cell_angle_gamma 90.00
_symmetry_space_group_name_H-M 'P 1 21/c 1'
_symmetry_Int_Tables_number 14
loop_
_symmetry_equiv_pos_as_xyz
'x,y,z'
'-x,-y,-z'
'-x,y+1/2,-z+1/2'
'x,-y+1/2,z+1/2'
loop_
_atom_site_label
_atom_site_type_symbol
_atom_site_fract_x
_atom_site_fract_y
_atom_site_fract_z
Ti1 Ti 0.000 0.000 0.000
Tl1 Tl 0.288 0.071 0.761
Tl2 Tl 0.500 0.000 0.500
Cl1 Cl 0.106 0.051 0.217
Cl2 Cl 0.217 0.744 0.065
Cl3 Cl 0.319 0.159 0.037
```



[3]
First-principles (PBE-GGA) data for Ti3Tl2Cl9 after structural relaxation, as listed in Alexandria via LeMat-Bulk.

For the magnetization, the calculation gives 2.0 μB/f.u. Its formation energy (no corrections) is -1.375 eV/atom.

Geometry as CIF:
```
data_Ti3Tl2Cl9
_cell_length_a 10.468
_cell_length_b 17.022
_cell_length_c 9.627
_cell_angle_alpha 90.00
_cell_angle_beta 114.62
_cell_angle_gamma 90.00
_symmetry_space_group_name_H-M 'C 1 2/m 1'
_symmetry_Int_Tables_number 12
loop_
_symmetry_equiv_pos_as_xyz
'x,y,z'
'-x,-y,-z'
'-x,y,-z'
'x,-y,z'
'x+1/2,y+1/2,z'
'-x+1/2,-y+1/2,-z'
'-x+1/2,y+1/2,-z'
'x+1/2,-y+1/2,z'
loop_
_atom_site_label
_atom_site_type_symbol
_atom_site_fract_x
_atom_site_fract_y
_atom_site_fract_z
Ti1 Ti 0.138 0.000 0.366
Ti2 Ti 0.144 0.088 0.648
Tl1 Tl 0.105 0.336 0.821
Cl1 Cl 0.000 0.196 0.500
Cl2 Cl 0.015 0.097 0.804
Cl3 Cl 0.191 0.500 0.173
Cl4 Cl 0.200 0.306 0.175
Cl5 Cl 0.208 0.397 0.486
Cl6 Cl 0.225 0.500 0.787
```



[4]
First-principles (PBE-GGA) data for Ti4Tl2Cl after structural relaxation, as listed in Alexandria via LeMat-Bulk.

For the magnetization, the calculation gives 0.0 μB/f.u. Its formation energy (no corrections) is 0.149 eV/atom.

Geometry as CIF:
```
data_Ti4Tl2Cl
_cell_length_a 4.380
_cell_length_b 4.380
_cell_length_c 14.762
_cell_angle_alpha 90.00
_cell_angle_beta 90.00
_cell_angle_gamma 90.00
_symmetry_space_group_name_H-M 'I 4/m m m'
_symmetry_Int_Tables_number 139
_symmetry_space_group_name_Hall '-I 4 2'
loop_
_atom_site_label
_atom_site_type_symbol
_atom_site_fract_x
_atom_site_fract_y
_atom_site_fract_z
Ti1 Ti 0.000 0.000 0.162
Ti2 Ti 0.000 0.500 0.000
Tl1 Tl 0.000 0.000 0.354
Cl1 Cl 0.000 0.000 0.000
```



[5]
First-principles (PBE-GGA) data for Ti3TlCl after structural relaxation, as listed in Alexandria via LeMat-Bulk.

The energy relative to the lowest polymorph listed for this composition is 1.097 eV/atom. For the magnetization, the calculation gives 6.0 μB/f.u. Its formation energy (no corrections) is 1.131 eV/atom.

Geometry as CIF:
```
data_Ti3TlCl
_cell_length_a 5.284
_cell_length_b 5.284
_cell_length_c 5.284
_cell_angle_alpha 90.00
_cell_angle_beta 90.00
_cell_angle_gamma 90.00
_symmetry_space_group_name_H-M 'P m -3 m'
_symmetry_Int_Tables_number 221
_symmetry_space_group_name_Hall '-P 4 2 3'
loop_
_atom_site_label
_atom_site_type_symbol
_atom_site_fract_x
_atom_site_fract_y
_atom_site_fract_z
Ti1 Ti 0.000 0.000 0.500
Tl1 Tl 0.000 0.000 0.000
Cl1 Cl 0.500 0.500 0.500
```



[6]
First-principles (PBE-GGA) data for Ti2TlCl after structural relaxation, as listed in Alexandria via LeMat-Bulk.

The energy relative to the lowest polymorph listed for this composition is 0.160 eV/atom. For the magnetization, the calculation gives 0.0 μB/f.u. Its formation energy (no corrections) is 0.301 eV/atom.

Geometry as CIF:
```
data_Ti2TlCl
_cell_length_a 4.832
_cell_length_b 4.832
_cell_length_c 15.961
_cell_angle_alpha 90.00
_cell_angle_beta 90.00
_cell_angle_gamma 90.00
_symmetry_space_group_name_H-M 'I -4 2 d'
_symmetry_Int_Tables_number 122
_symmetry_space_group_name_Hall 'I -4 2bw'
loop_
_atom_site_label
_atom_site_type_symbol
_atom_site_fract_x
_atom_site_fract_y
_atom_site_fract_z
Ti1 Ti 0.119 0.250 0.125
Tl1 Tl 0.000 0.000 0.500
Cl1 Cl 0.000 0.000 0.000
```



[7]
First-principles (PBE-GGA) data for Ti3TlCl after structural relaxation, as listed in Alexandria via LeMat-Bulk.

The energy relative to the lowest polymorph listed for this composition is 0.000 eV/atom. For the magnetization, the calculation gives 1.4 μB/f.u. Its formation energy (no corrections) is 0.034 eV/atom.

Geometry as CIF:
```
data_Ti3TlCl
_cell_length_a 4.527
_cell_length_b 4.527
_cell_length_c 4.527
_cell_angle_alpha 90.00
_cell_angle_beta 90.00
_cell_angle_gamma 90.00
_symmetry_space_group_name_H-M 'P m -3 m'
_symmetry_Int_Tables_number 221
_symmetry_space_group_name_Hall '-P 4 2 3'
loop_
_atom_site_label
_atom_site_type_symbol
_atom_site_fract_x
_atom_site_fract_y
_atom_site_fract_z
Ti1 Ti 0.000 0.000 0.500
Tl1 Tl 0.500 0.500 0.500
Cl1 Cl 0.000 0.000 0.000
```



[8]
First-principles (PBE-GGA) data for TiTl3Cl7 after structural relaxation, as listed in Alexandria via LeMat-Bulk.

For the magnetization, the calculation gives 0.0 μB/f.u. Its formation energy (no corrections) is -1.266 eV/atom.

Geometry as CIF:
```
data_TiTl3Cl7
_cell_length_a 10.639
_cell_length_b 9.633
_cell_length_c 7.987
_cell_angle_alpha 90.00
_cell_angle_beta 118.21
_cell_angle_gamma 90.00
_symmetry_space_group_name_H-M 'C 1 m 1'
_symmetry_Int_Tables_number 8
loop_
_symmetry_equiv_pos_as_xyz
'x,y,z'
'x,-y,z'
'x+1/2,y+1/2,z'
'x+1/2,-y+1/2,z'
loop_
_atom_site_label
_atom_site_type_symbol
_atom_site_fract_x
_atom_site_fract_y
_atom_site_fract_z
Ti1 Ti 0.000 0.000 0.000
Tl1 Tl 0.000 0.500 0.989
Tl2 Tl 0.013 0.220 0.515
Cl1 Cl 0.139 0.176 0.208
Cl2 Cl 0.157 0.000 0.859
Cl3 Cl 0.347 0.500 0.137
Cl4 Cl 0.360 0.327 0.776
Cl5 Cl 0.473 0.000 0.614
```



[9]
First-principles (PBE-GGA) data for TiTlCl2 after structural relaxation, as listed in Alexandria via LeMat-Bulk.

The energy relative to the lowest polymorph listed for this composition is 0.000 eV/atom. For the magnetization, the calculation gives 0.4 μB/f.u. Its formation energy (no corrections) is -0.971 eV/atom.

Geometry as CIF:
```
data_TiTlCl2
_cell_length_a 3.3075
_cell_length_b 3.3075
_cell_length_c 29.9164
_cell_angle_alpha 90.00
_cell_angle_beta 90.00
_cell_angle_gamma 120.00
_symmetry_space_group_name_H-M 'R -3 m'
_symmetry_Int_Tables_number 166
_symmetry_space_group_name_Hall '-R 3 2"'
loop_
_atom_site_label
_atom_site_type_symbol
_atom_site_fract_x
_atom_site_fract_y
_atom_site_fract_z
Ti1 Ti 0.0000 0.0000 0.0000
Tl1 Tl 0.0000 0.0000 0.5000
Cl1 Cl 0.0000 0.0000 0.3869
```



[10]
First-principles (PBE-GGA) data for TiTlCl5 after structural relaxation, as listed in Alexandria via LeMat-Bulk.

For the magnetization, the calculation gives 0.0 μB/f.u. Its formation energy (no corrections) is -1.291 eV/atom.

Geometry as CIF:
```
data_TiTlCl5
_cell_length_a 21.440
_cell_length_b 6.024
_cell_length_c 6.680
_cell_angle_alpha 90.00
_cell_angle_beta 100.00
_cell_angle_gamma 90.00
_symmetry_space_group_name_H-M 'C 1 2/c 1'
_symmetry_Int_Tables_number 15
loop_
_symmetry_equiv_pos_as_xyz
'x,y,z'
'-x,-y,-z'
'-x,y,-z+1/2'
'x,-y,z+1/2'
'x+1/2,y+1/2,z'
'-x+1/2,-y+1/2,-z'
'-x+1/2,y+1/2,-z+1/2'
'x+1/2,-y+1/2,z+1/2'
loop_
_atom_site_label
_atom_site_type_symbol
_atom_site_fract_x
_atom_site_fract_y
_atom_site_fract_z
Ti1 Ti 0.250 0.250 0.000
Tl1 Tl 0.000 0.244 0.750
Cl1 Cl 0.000 0.260 0.250
Cl2 Cl 0.157 0.071 0.954
Cl3 Cl 0.205 0.488 0.716
```